No. 1
First-principles (PBE) data for crystalline Mg3AgPt2 at its relaxed geometry, as listed in Alexandria.

## Properties
**SG**: No. 123
**DOS at the Fermi energy**: 2.03 states/eV/cell
**ΔE_f**: -3.954 eV/f.u.
**Crystal system**: tetragonal
**Energy above the lowest structure with this stoichiometry**: 0.0060 eV/atom

Cell and atoms, written as POSCAR:
```
Mg3AgPt2
1.0
3.0378 0.0000 0.0000
0.0000 3.0378 0.0000
0.0000 0.0000 10.9218
Mg Ag Pt
3 1 2
Direct
0.0000 0.0000 0.0000
0.0000 0.0000 0.3153
0.0000 0.0000 0.6847
0.5000 0.5000 0.5000
0.5000 0.5000 0.1605
0.5000 0.5000 0.8395
```

***

No. 2
First-principles (PBE) data for crystalline Cs2Cd4In5 at its relaxed geometry, as listed in Alexandria.

## Properties
**SG**: No. 12
**DOS at the Fermi energy**: 4.97 states/eV/cell
**ΔE_f**: -0.113 eV/f.u.
**Crystal system**: monoclinic

Cell and atoms, written as POSCAR:
```
Cs2Cd4In5
1.0
7.6702 -3.2299 0.0000
7.6702 3.2299 0.0000
-6.1207 0.0000 7.6924
Cs Cd In
2 4 5
Direct
0.2217 0.2217 0.1514
0.7783 0.7783 0.8486
0.1190 0.1190 0.6747
0.2547 0.2547 0.5662
0.7453 0.7453 0.4338
0.8810 0.8810 0.3253
0.2224 0.7040 0.6916
0.2960 0.7776 0.3084
0.5000 0.5000 0.0000
0.7040 0.2224 0.6916
0.7776 0.2960 0.3084
```

***

No. 3
First-principles (PBE) data for crystalline Pm6TlTe3Ir2 at its relaxed geometry, as listed in Alexandria.

## Properties
**SG**: No. 12
**DOS at the Fermi energy**: 6.59 states/eV/cell
**Crystal system**: monoclinic
**E_form (uncorrected)**: -0.959 eV/atom

Cell and atoms, written as POSCAR:
```
Pm6TlTe3Ir2
1.0
9.8058 -2.1245 0.0000
9.8058 2.1245 0.0000
-2.9092 0.0000 8.6326
Pm Tl Te Ir
6 1 3 2
Direct
0.0110 0.0110 0.2611
0.3187 0.3187 0.4460
0.3289 0.3289 0.8899
0.6711 0.6711 0.1101
0.6813 0.6813 0.5540
0.9890 0.9890 0.7389
0.5000 0.5000 0.0000
0.1621 0.1621 0.8274
0.5000 0.5000 0.5000
0.8379 0.8379 0.1726
0.1648 0.1648 0.3233
0.8352 0.8352 0.6767
```

***

No. 4
First-principles (PBE) data for crystalline Y2MnBr at its relaxed geometry, as listed in Alexandria.

## Properties
**SG**: No. 123
**DOS at the Fermi energy**: 4.00 states/eV/cell
**Crystal system**: tetragonal
**Energy above the lowest structure with this stoichiometry**: 0.0603 eV/atom
**E_form (uncorrected)**: -0.358 eV/atom

Cell and atoms, written as POSCAR:
```
Y2MnBr
1.0
3.4282 0.0000 0.0000
0.0000 3.4282 0.0000
0.0000 0.0000 8.2751
Y Mn Br
2 1 1
Direct
0.0000 0.0000 0.2112
0.0000 0.0000 0.7888
0.5000 0.5000 0.0000
0.5000 0.5000 0.5000
```

***

No. 5
First-principles (PBE) data for crystalline Pr4NdHo2Tm at its relaxed geometry, as listed in Alexandria.

## Properties
**SG**: No. 47
**DOS at the Fermi energy**: 10.61 states/eV/cell
**ΔE_f**: 0.120 eV/f.u.
**Crystal system**: orthorhombic

Cell and atoms, written as POSCAR:
```
Pr4NdHo2Tm
1.0
5.1530 0.0000 0.0000
0.0000 5.1842 0.0000
0.0000 0.0000 10.1474
Pr Nd Ho Tm
4 1 2 1
Direct
0.0000 0.0000 0.2470
0.0000 0.0000 0.7530
0.5000 0.5000 0.2467
0.5000 0.5000 0.7533
0.0000 0.5000 0.5000
0.0000 0.5000 0.0000
0.5000 0.0000 0.5000
0.5000 0.0000 0.0000
```

***

No. 6
First-principles (PBE) data for crystalline Li3Cd3In at its relaxed geometry, as listed in Alexandria.

## Properties
**SG**: No. 65
**DOS at the Fermi energy**: 5.07 states/eV/cell
**ΔE_f**: -1.157 eV/f.u.
**Crystal system**: orthorhombic
**Energy above the lowest structure with this stoichiometry**: 0.0583 eV/atom

Cell and atoms, written as POSCAR:
```
Li3Cd3In
1.0
4.7830 -4.7839 0.0000
4.7830 4.7839 0.0000
0.0000 0.0000 6.3721
Li Cd In
6 6 2
Direct
0.2381 0.7619 0.0000
0.2417 0.7583 0.5000
0.2436 0.2436 0.0000
0.7564 0.7564 0.0000
0.7583 0.2417 0.5000
0.7619 0.2381 0.0000
0.0000 0.5000 0.2382
0.0000 0.5000 0.7618
0.5000 0.0000 0.2382
0.5000 0.0000 0.7618
0.5000 0.5000 0.2535
0.5000 0.5000 0.7465
0.1937 0.1937 0.5000
0.8063 0.8063 0.5000
```

***

No. 7
First-principles (PBE) data for crystalline Mo2PBr at its relaxed geometry, as listed in Alexandria.

## Properties
**SG**: No. 8
**DOS at the Fermi energy**: 2.10 states/eV/cell
**Crystal system**: monoclinic
**Energy above the lowest structure with this stoichiometry**: 0.1093 eV/atom
**E_form (uncorrected)**: 0.151 eV/atom

Cell and atoms, written as POSCAR:
```
Mo2PBr
1.0
4.1770 -1.5971 0.0000
4.1770 1.5971 0.0000
-1.4191 0.0000 5.1558
Mo P Br
2 1 1
Direct
0.0000 0.0000 0.0000
0.2337 0.2337 0.6312
0.5259 0.5259 0.6823
0.7531 0.7531 0.2481
```

***

No. 8
First-principles (PBE) data for crystalline In2Pt3 at its relaxed geometry, as listed in Alexandria.

## Properties
**SG**: No. 194
**DOS at the Fermi energy**: 4.71 states/eV/cell
**ΔE_f**: -2.488 eV/f.u.
**Crystal system**: hexagonal

Cell and atoms, written as POSCAR:
```
In2Pt3
1.0
5.6563 0.0000 0.0000
-2.8281 4.8985 0.0000
0.0000 0.0000 13.9640
In Pt
8 12
Direct
0.0000 0.0000 0.2500
0.0000 0.0000 0.7500
0.3333 0.6667 0.0830
0.3333 0.6667 0.4170
0.3333 0.6667 0.7500
0.6667 0.3333 0.2500
0.6667 0.3333 0.5830
0.6667 0.3333 0.9170
0.1657 0.3314 0.5904
0.1657 0.3314 0.9096
0.1657 0.8343 0.5904
0.1657 0.8343 0.9096
0.3314 0.1657 0.0904
0.3314 0.1657 0.4096
0.6686 0.8343 0.5904
0.6686 0.8343 0.9096
0.8343 0.1657 0.0904
0.8343 0.1657 0.4096
0.8343 0.6686 0.0904
0.8343 0.6686 0.4096
```

***

No. 9
First-principles (PBE) data for crystalline Ho4AlCu2Ag at its relaxed geometry, as listed in Alexandria.

## Properties
**SG**: No. 166
**DOS at the Fermi energy**: 5.36 states/eV/cell
**ΔE_f**: -2.331 eV/f.u.
**Crystal system**: trigonal

Cell and atoms, written as POSCAR:
```
Ho4AlCu2Ag
1.0
2.4944 1.4401 8.2316
-2.4944 1.4401 8.2316
0.0000 -2.8803 8.2316
Ho Al Cu Ag
4 1 2 1
Direct
0.1239 0.1239 0.1239
0.3751 0.3751 0.3751
0.6249 0.6249 0.6249
0.8761 0.8761 0.8761
0.5000 0.5000 0.5000
0.2433 0.2433 0.2433
0.7567 0.7567 0.7567
0.0000 0.0000 0.0000
```

***

No. 10
First-principles (PBE) data for crystalline Tl4PtSe at its relaxed geometry, as listed in Alexandria.

## Properties
**SG**: No. 216
**DOS at the Fermi energy**: 3.87 states/eV/cell
**Crystal system**: cubic
**E_form (uncorrected)**: 0.454 eV/atom

Cell and atoms, written as POSCAR:
```
Tl4PtSe
1.0
0.0000 4.4010 4.4010
4.4010 0.0000 4.4010
4.4010 4.4010 0.0000
Tl Pt Se
4 1 1
Direct
0.1250 0.1250 0.1250
0.1250 0.1250 0.6251
0.1250 0.6251 0.1250
0.6251 0.1250 0.1250
0.7500 0.7500 0.7500
0.5000 0.5000 0.5000
```

***

No. 11
First-principles (PBE) data for crystalline ScSiOs2 at its relaxed geometry, as listed in Alexandria.

## Properties
**SG**: No. 6
**DOS at the Fermi energy**: 2.42 states/eV/cell
**Crystal system**: monoclinic
**E_form (uncorrected)**: -0.283 eV/atom

Cell and atoms, written as POSCAR:
```
ScSiOs2
1.0
2.9335 0.0000 0.0000
0.0000 4.3501 0.0000
-1.3372 0.0000 4.7693
Sc Si Os
1 1 2
Direct
0.0000 0.0000 0.0000
0.5753 0.5000 0.2244
0.2696 0.5000 0.6790
0.6413 0.0000 0.4812
```

***

No. 12
First-principles (PBE) data for crystalline Ac2Pb2O7 at its relaxed geometry, as listed in Alexandria.

## Properties
**SG**: No. 227
**Crystal system**: cubic
**E_form (uncorrected)**: -2.109 eV/atom

Cell and atoms, written as POSCAR:
```
Ac2Pb2O7
1.0
0.0000 5.6593 5.6593
5.6593 0.0000 5.6593
5.6593 5.6593 0.0000
Ac Pb O
4 4 14
Direct
0.0000 0.0000 0.0000
0.0000 0.0000 0.5000
0.0000 0.5000 0.0000
0.5000 0.0000 0.0000
0.0000 0.5000 0.5000
0.5000 0.0000 0.5000
0.5000 0.5000 0.0000
0.5000 0.5000 0.5000
0.1250 0.1250 0.1250
0.1633 0.1633 0.5867
0.1633 0.5867 0.1633
0.1633 0.5867 0.5867
0.4133 0.4133 0.8367
0.4133 0.8367 0.4133
0.4133 0.8367 0.8367
0.5867 0.1633 0.1633
0.5867 0.1633 0.5867
0.5867 0.5867 0.1633
0.8367 0.4133 0.4133
0.8367 0.4133 0.8367
0.8367 0.8367 0.4133
0.8750 0.8750 0.8750
```

***

No. 13
First-principles (PBE) data for crystalline LuHfAlNi at its relaxed geometry, as listed in Alexandria.

## Properties
**SG**: No. 216
**DOS at the Fermi energy**: 4.26 states/eV/cell
**ΔE_f**: -1.045 eV/f.u.
**Crystal system**: cubic

Cell and atoms, written as POSCAR:
```
LuHfAlNi
1.0
0.0000 3.3573 3.3573
3.3573 0.0000 3.3573
3.3573 3.3573 0.0000
Lu Hf Al Ni
1 1 1 1
Direct
0.0000 0.0000 0.0000
0.5000 0.5000 0.5000
0.2500 0.2500 0.2500
0.7500 0.7500 0.7500
```

***

No. 14
First-principles (PBE) data for crystalline RbInSi at its relaxed geometry, as listed in Alexandria.

## Properties
**SG**: No. 8
**DOS at the Fermi energy**: 2.22 states/eV/cell
**Crystal system**: monoclinic
**E_form (uncorrected)**: 0.052 eV/atom

Cell and atoms, written as POSCAR:
```
RbInSi
1.0
6.1265 -2.0127 0.0000
6.1265 2.0127 0.0000
-4.3793 0.0000 7.6136
Rb In Si
2 2 2
Direct
0.0000 0.0000 0.0000
0.1581 0.1581 0.7392
0.4905 0.4905 0.3522
0.7876 0.7876 0.1803
0.3688 0.3688 0.5538
0.7407 0.7407 0.4590
```

***

No. 15
First-principles (PBE) data for crystalline InGaO2 at its relaxed geometry, as listed in Alexandria.

## Properties
**SG**: No. 166
**DOS at the Fermi energy**: 0.44 states/eV/cell
**Crystal system**: trigonal
**E_form (uncorrected)**: -1.149 eV/atom

Cell and atoms, written as POSCAR:
```
InGaO2
1.0
1.6136 0.9316 6.3779
-1.6136 0.9316 6.3779
0.0000 -1.8632 6.3779
In Ga O
1 1 2
Direct
0.0000 0.0000 0.0000
0.5000 0.5000 0.5000
0.3924 0.3924 0.3924
0.6076 0.6076 0.6076
```

***

No. 16
First-principles (PBE) data for crystalline LiCeZn at its relaxed geometry, as listed in Alexandria.

## Properties
**SG**: No. 107
**DOS at the Fermi energy**: 4.30 states/eV/cell
**ΔE_f**: -0.143 eV/f.u.
**Crystal system**: tetragonal
**Energy above the lowest structure with this stoichiometry**: 0.0474 eV/atom

Cell and atoms, written as POSCAR:
```
LiCeZn
1.0
-1.5019 1.5019 6.5959
1.5019 -1.5019 6.5959
1.5019 1.5019 -6.5959
Li Ce Zn
1 1 1
Direct
0.0000 0.0000 0.0000
0.7046 0.7046 0.0000
0.3777 0.3777 0.0000
```

***

No. 17
First-principles (PBE) data for crystalline KPbS2Cl at its relaxed geometry, as listed in Alexandria.

## Properties
**SG**: No. 123
**DOS at the Fermi energy**: 3.53 states/eV/cell
**Crystal system**: tetragonal
**Energy above the lowest structure with this stoichiometry**: 0.0000 eV/atom
**E_form (uncorrected)**: -0.543 eV/atom

Cell and atoms, written as POSCAR:
```
KPbS2Cl
1.0
5.2233 0.0000 0.0000
0.0000 5.2233 0.0000
0.0000 0.0000 5.6997
K Pb S Cl
1 1 2 1
Direct
0.0000 0.0000 0.0000
0.5000 0.5000 0.5000
0.0000 0.5000 0.5000
0.5000 0.0000 0.5000
0.5000 0.5000 0.0000
```

***

No. 18
First-principles (PBE) data for crystalline TaCdSe2N at its relaxed geometry, as listed in Alexandria.

## Properties
**SG**: No. 123
**DOS at the Fermi energy**: 2.26 states/eV/cell
**Crystal system**: tetragonal
**Energy above the lowest structure with this stoichiometry**: 0.0000 eV/atom
**E_form (uncorrected)**: -0.143 eV/atom

Cell and atoms, written as POSCAR:
```
TaCdSe2N
1.0
5.2215 0.0000 0.0000
0.0000 5.2215 0.0000
0.0000 0.0000 3.9002
Ta Cd Se N
1 1 2 1
Direct
0.0000 0.0000 0.0000
0.5000 0.5000 0.5000
0.0000 0.5000 0.0000
0.5000 0.0000 0.0000
0.0000 0.0000 0.5000
```

***

No. 19
First-principles (PBE) data for crystalline Tb4Pm11Ho9 at its relaxed geometry, as listed in Alexandria.

## Properties
**SG**: No. 65
**DOS at the Fermi energy**: 30.48 states/eV/cell
**ΔE_f**: 1.337 eV/f.u.
**Crystal system**: orthorhombic

Cell and atoms, written as POSCAR:
```
Tb4Pm11Ho9
1.0
8.4543 -12.7900 0.0000
8.4543 12.7900 0.0000
0.0000 0.0000 3.6623
Tb Pm Ho
4 11 9
Direct
0.0550 0.2579 0.0000
0.2579 0.0550 0.0000
0.7421 0.9450 0.0000
0.9450 0.7421 0.0000
0.0940 0.4564 0.5000
0.1321 0.8679 0.5000
0.2079 0.2079 0.5000
0.3399 0.6601 0.5000
0.4564 0.0940 0.5000
0.5000 0.5000 0.5000
0.5436 0.9060 0.5000
0.6601 0.3399 0.5000
0.7921 0.7921 0.5000
0.8679 0.1321 0.5000
0.9060 0.5436 0.5000
0.0000 0.0000 0.0000
0.1315 0.6649 0.0000
0.2867 0.4323 0.0000
0.3351 0.8685 0.0000
0.4323 0.2867 0.0000
0.5677 0.7133 0.0000
0.6649 0.1315 0.0000
0.7133 0.5677 0.0000
0.8685 0.3351 0.0000
```

***

No. 20
First-principles (PBE) data for crystalline Ca4AlOs at its relaxed geometry, as listed in Alexandria.

## Properties
**SG**: No. 216
**DOS at the Fermi energy**: 8.75 states/eV/cell
**ΔE_f**: 5.737 eV/f.u.
**Crystal system**: cubic

Cell and atoms, written as POSCAR:
```
Ca4AlOs
1.0
0.0000 4.2304 4.2304
4.2304 0.0000 4.2304
4.2304 4.2304 0.0000
Ca Al Os
4 1 1
Direct
0.1237 0.1237 0.1237
0.1237 0.1237 0.6288
0.1237 0.6288 0.1237
0.6288 0.1237 0.1237
0.5000 0.5000 0.5000
0.7500 0.7500 0.7500
```

***

No. 21
First-principles (PBE) data for crystalline Pm2SiRu3 at its relaxed geometry, as listed in Alexandria.

## Properties
**SG**: No. 166
**DOS at the Fermi energy**: 5.23 states/eV/cell
**Crystal system**: trigonal
**E_form (uncorrected)**: -0.445 eV/atom

Cell and atoms, written as POSCAR:
```
Pm2SiRu3
1.0
2.8083 1.6214 3.9791
-2.8083 1.6214 3.9791
0.0000 -3.2428 3.9791
Pm Si Ru
2 1 3
Direct
0.1286 0.1286 0.1286
0.8714 0.8714 0.8714
0.5000 0.5000 0.5000
0.0000 0.5000 0.5000
0.5000 0.0000 0.5000
0.5000 0.5000 0.0000
```

***

No. 22
First-principles (PBE) data for crystalline NaFe2As2 at its relaxed geometry, as listed in Alexandria.

## Properties
**SG**: No. 127
**DOS at the Fermi energy**: 8.63 states/eV/cell
**ΔE_f**: 0.431 eV/f.u.
**Crystal system**: tetragonal

Cell and atoms, written as POSCAR:
```
NaFe2As2
1.0
7.1945 0.0000 0.0000
0.0000 7.1945 0.0000
0.0000 0.0000 2.7686
Na Fe As
2 4 4
Direct
0.0000 0.0000 0.0000
0.5000 0.5000 0.0000
0.1358 0.3642 0.5000
0.3642 0.8642 0.5000
0.6358 0.1358 0.5000
0.8642 0.6358 0.5000
0.1510 0.6510 0.0000
0.3490 0.1510 0.0000
0.6510 0.8490 0.0000
0.8490 0.3490 0.0000
```

***

No. 23
First-principles (PBE) data for crystalline HgSbTe2O at its relaxed geometry, as listed in Alexandria.

## Properties
**SG**: No. 123
**DOS at the Fermi energy**: 15.24 states/eV/cell
**Crystal system**: tetragonal
**Energy above the lowest structure with this stoichiometry**: 1.0812 eV/atom
**E_form (uncorrected)**: 1.263 eV/atom

Cell and atoms, written as POSCAR:
```
HgSbTe2O
1.0
5.5659 0.0000 0.0000
0.0000 5.5659 0.0000
0.0000 0.0000 5.6105
Hg Sb Te O
1 1 2 1
Direct
0.0000 0.0000 0.0000
0.0000 0.0000 0.5000
0.0000 0.5000 0.0000
0.5000 0.0000 0.0000
0.5000 0.5000 0.5000
```

***

No. 24
First-principles (PBE) data for crystalline SrH8Pt2Pb at its relaxed geometry, as listed in Alexandria.

## Properties
**SG**: No. 166
**Total DFT energy (no corrections)**: -44.3 eV/f.u.
**DOS at the Fermi energy**: 4.57 states/eV/cell
**Crystal system**: trigonal

Cell and atoms, written as POSCAR:
```
SrH8Pt2Pb
1.0
2.1615 1.2479 8.9411
-2.1615 1.2479 8.9411
0.0000 -2.4959 8.9411
Sr H Pt Pb
1 8 2 1
Direct
0.0000 0.0000 0.0000
0.0903 0.5342 0.5342
0.1845 0.1845 0.1845
0.4658 0.4658 0.9097
0.4658 0.9097 0.4658
0.5342 0.0903 0.5342
0.5342 0.5342 0.0903
0.8155 0.8155 0.8155
0.9097 0.4658 0.4658
0.2476 0.2476 0.2476
0.7524 0.7524 0.7524
0.5000 0.5000 0.5000
```